The following is a GGA+U calculation of an optimized crystal structure of MnBrF, from Alexandria.

Cell and atoms, written as extended XYZ:
```
6
Lattice="3.6403 -0.1752 -0.0583 0.1761 3.6403 -0.0541 0.0502 0.0582 9.1080" Properties=species:S:1:pos:R:3 pbc="T T T"
Mn 3.1323 3.0254 0.4879
Mn 1.2294 1.3126 7.0219
Br 3.1157 3.0292 5.5810
Br 1.2484 1.3139 1.9302
F 3.0718 1.2442 8.3089
F 1.3398 3.1516 8.3111
```

## Properties
- Energy above the most stable polymorph in this dataset: 20.2 kJ/mol of formula units
- ρ: 4.222 g/cm³
- Crystal system: triclinic
- Fermi-level density of states: 0.00 states/eV/cell
- Symmetry: P-1, No. 2